# 1
The following is a PBE-GGA calculation of a relaxed Ca2GaCl crystal, from the Alexandria database.

Cell: 3.516 3.516 8.129 Å, 90.00 90.00 90.00°
Element x y z (fractional)
Ca1 0.000 0.000 0.234
Ca2 0.000 0.000 0.766
Ga1 0.500 0.500 0.000
Cl1 0.500 0.500 0.500

The value obtained for the energy above the most stable polymorph in this dataset is 0.25 eV per formula unit. As for the space group: No. 123. The formation energy from raw total energies comes out at -3.907 eV/f.u.

# 2
The following is a PBE-GGA calculation of a relaxed CaGa3Cl crystal, from the Alexandria database.

Cell: 5.233 5.233 5.233 Å, 90.00 90.00 90.00°
Element x y z (fractional)
Ca1 0.000 0.000 0.000
Ga1 0.000 0.500 0.500
Ga2 0.500 0.000 0.500
Ga3 0.500 0.500 0.000
Cl1 0.500 0.500 0.500

The value obtained for the energy above the most stable polymorph in this dataset is 0.00 eV per formula unit. As for the space group: No. 221. The formation energy from raw total energies comes out at -0.017 eV/f.u.

# 3
The following is a PBE-GGA calculation of a relaxed Ca2GaCl crystal, from the Alexandria database.

Cell: 8.495 8.495 8.495 Å, 26.73 26.73 26.73°
Element x y z (fractional)
Ca1 0.000 0.000 0.000
Ca2 0.172 0.172 0.172
Ga1 0.586 0.586 0.586
Cl1 0.415 0.415 0.415

The value obtained for the energy above the most stable polymorph in this dataset is 0.16 eV per formula unit. As for the space group: No. 160. The formation energy from raw total energies comes out at -3.990 eV/f.u.

# 4
The following is a PBE-GGA calculation of a relaxed Ca3Ga5Cl12 crystal, from the Alexandria database.

Cell: 14.445 14.445 14.445 Å, 109.47 109.47 109.47°
Element x y z (fractional)
Ca1 0.125 0.250 0.375
Ca2 0.125 0.375 0.750
Ca3 0.250 0.375 0.125
Ca4 0.250 0.875 0.625
Ca5 0.375 0.125 0.250
Ca6 0.375 0.750 0.125
Ca7 0.625 0.250 0.875
Ca8 0.625 0.875 0.750
Ca9 0.750 0.125 0.375
Ca10 0.750 0.625 0.875
Ca11 0.875 0.625 0.250
Ca12 0.875 0.750 0.625
Ga1 0.000 0.000 0.000
Ga2 0.000 0.000 0.500
Ga3 0.000 0.500 0.000
Ga4 0.000 0.500 0.500
Ga5 0.125 0.750 0.875
Ga6 0.125 0.875 0.250
Ga7 0.250 0.125 0.875
Ga8 0.250 0.625 0.375
Ga9 0.375 0.250 0.625
Ga10 0.375 0.625 0.750
Ga11 0.500 0.000 0.000
Ga12 0.500 0.000 0.500
Ga13 0.500 0.500 0.000
Ga14 0.500 0.500 0.500
Ga15 0.625 0.375 0.250
Ga16 0.625 0.750 0.375
Ga17 0.750 0.375 0.625
Ga18 0.750 0.875 0.125
Ga19 0.875 0.125 0.750
Ga20 0.875 0.250 0.125
Cl1 0.059 0.227 0.128
Cl2 0.059 0.332 0.931
Cl3 0.069 0.628 0.401
Cl4 0.069 0.941 0.668
Cl5 0.099 0.727 0.668
Cl6 0.099 0.872 0.431
Cl7 0.128 0.059 0.227
Cl8 0.128 0.569 0.901
Cl9 0.168 0.227 0.599
Cl10 0.168 0.441 0.569
Cl11 0.227 0.128 0.059
Cl12 0.227 0.599 0.168
Cl13 0.273 0.332 0.901
Cl14 0.273 0.441 0.372
Cl15 0.332 0.901 0.273
Cl16 0.332 0.931 0.059
Cl17 0.372 0.273 0.441
Cl18 0.372 0.599 0.931
Cl19 0.401 0.069 0.628
Cl20 0.401 0.832 0.773
Cl21 0.431 0.099 0.872
Cl22 0.431 0.832 0.559
Cl23 0.441 0.372 0.273
Cl24 0.441 0.569 0.168
Cl25 0.559 0.431 0.832
Cl26 0.559 0.628 0.727
Cl27 0.569 0.168 0.441
Cl28 0.569 0.901 0.128
Cl29 0.599 0.168 0.227
Cl30 0.599 0.931 0.372
Cl31 0.628 0.401 0.069
Cl32 0.628 0.727 0.559
Cl33 0.668 0.069 0.941
Cl34 0.668 0.099 0.727
Cl35 0.727 0.559 0.628
Cl36 0.727 0.668 0.099
Cl37 0.773 0.401 0.832
Cl38 0.773 0.872 0.941
Cl39 0.832 0.559 0.431
Cl40 0.832 0.773 0.401
Cl41 0.872 0.431 0.099
Cl42 0.872 0.941 0.773
Cl43 0.901 0.128 0.569
Cl44 0.901 0.273 0.332
Cl45 0.931 0.059 0.332
Cl46 0.931 0.372 0.599
Cl47 0.941 0.668 0.069
Cl48 0.941 0.773 0.872

As for the space group: No. 230. The formation energy from raw total energies comes out at -26.089 eV/f.u.

# 5
The following is a PBE-GGA calculation of a relaxed Ca2Ga2Cl crystal, from the Alexandria database.

Cell: 8.227 8.227 8.227 Å, 29.92 29.92 29.92°
Element x y z (fractional)
Ca1 0.086 0.086 0.086
Ca2 0.914 0.914 0.914
Ga1 0.323 0.323 0.323
Ga2 0.677 0.677 0.677
Cl1 0.500 0.500 0.500

As for the space group: No. 166. The formation energy from raw total energies comes out at -5.063 eV/f.u.

# 6
The following is a PBE-GGA calculation of a relaxed CaGa3Cl crystal, from the Alexandria database.

Cell: 5.844 5.844 5.844 Å, 90.00 90.00 90.00°
Element x y z (fractional)
Ca1 0.000 0.000 0.000
Ga1 0.000 0.000 0.500
Ga2 0.000 0.500 0.000
Ga3 0.500 0.000 0.000
Cl1 0.500 0.500 0.500

The value obtained for the energy above the most stable polymorph in this dataset is 2.65 eV per formula unit. As for the space group: No. 221. The formation energy from raw total energies comes out at 2.637 eV/f.u.

# 7
The following is a PBE-GGA calculation of a relaxed CaGaCl2 crystal, from the Alexandria database.

Cell: 5.113 5.113 5.113 Å, 60.00 60.00 60.00°
Element x y z (fractional)
Ca1 0.000 0.000 0.000
Ga1 0.500 0.500 0.500
Cl1 0.250 0.250 0.250
Cl2 0.750 0.750 0.750

The value obtained for the energy above the most stable polymorph in this dataset is 0.19 eV per formula unit. As for the space group: No. 225. The formation energy from raw total energies comes out at -4.418 eV/f.u.

# 8
The following is a PBE-GGA calculation of a relaxed Ca3GaCl crystal, from the Alexandria database.

Cell: 5.291 5.291 5.291 Å, 90.00 90.00 90.00°
Element x y z (fractional)
Ca1 0.000 0.000 0.500
Ca2 0.000 0.500 0.000
Ca3 0.500 0.000 0.000
Ga1 0.500 0.500 0.500
Cl1 0.000 0.000 0.000

The value obtained for the energy above the most stable polymorph in this dataset is 0.00 eV per formula unit. As for the space group: No. 221. The formation energy from raw total energies comes out at -2.930 eV/f.u.

# 9
The following is a PBE-GGA calculation of a relaxed CaGaCl2 crystal, from the Alexandria database.

Cell: 7.948 7.948 7.948 Å, 126.01 126.01 79.87°
Element x y z (fractional)
Ca1 0.000 0.000 0.000
Ca2 0.750 0.250 0.500
Ga1 0.250 0.750 0.500
Ga2 0.500 0.500 0.000
Cl1 0.034 0.625 0.909
Cl2 0.375 0.284 0.409
Cl3 0.716 0.125 0.091
Cl4 0.875 0.966 0.591

The value obtained for the energy above the most stable polymorph in this dataset is 0.00 eV per formula unit. As for the space group: No. 122. The formation energy from raw total energies comes out at -4.610 eV/f.u.

# 10
The following is a PBE-GGA calculation of a relaxed Ca2GaCl crystal, from the Alexandria database.

Cell: 5.333 5.333 5.333 Å, 60.00 60.00 60.00°
Element x y z (fractional)
Ca1 0.250 0.250 0.250
Ca2 0.750 0.750 0.750
Ga1 0.000 0.000 0.000
Cl1 0.500 0.500 0.500

The value obtained for the energy above the most stable polymorph in this dataset is 1.38 eV per formula unit. As for the space group: No. 225. The formation energy from raw total energies comes out at -2.769 eV/f.u.

# 11
The following is a PBE-GGA calculation of a relaxed CaGa2Cl8 crystal, from the Alexandria database.

Cell: 7.893 7.893 6.359 Å, 96.71 96.71 72.12°
Element x y z (fractional)
Ca1 0.000 0.000 0.000
Ga1 0.199 0.199 0.657
Ga2 0.801 0.801 0.343
Cl1 0.077 0.705 0.235
Cl2 0.182 0.182 0.302
Cl3 0.295 0.923 0.765
Cl4 0.364 0.364 0.782
Cl5 0.636 0.636 0.218
Cl6 0.705 0.077 0.235
Cl7 0.818 0.818 0.698
Cl8 0.923 0.295 0.765

The value obtained for the energy above the most stable polymorph in this dataset is 0.06 eV per formula unit. As for the space group: No. 12. The formation energy from raw total energies comes out at -16.246 eV/f.u.

# 12
The following is a PBE-GGA calculation of a relaxed CaGaH4Cl crystal, from the Alexandria database.

Cell: 5.998 5.998 6.633 Å, 101.10 101.10 71.58°
Element x y z (fractional)
Ca1 0.212 0.212 0.123
Ca2 0.788 0.788 0.877
Ga1 0.372 0.372 0.739
Ga2 0.628 0.628 0.261
H1 0.147 0.495 0.868
H2 0.294 0.294 0.502
H3 0.461 0.461 0.221
H4 0.495 0.147 0.868
H5 0.505 0.853 0.132
H6 0.539 0.539 0.779
H7 0.706 0.706 0.498
H8 0.853 0.505 0.132
Cl1 0.027 0.027 0.755
Cl2 0.973 0.973 0.245

As for the space group: No. 12.

# 13
The following is a PBE-GGA calculation of a relaxed CaGa2HgCl8 crystal, from the Alexandria database.

Cell: 12.230 12.230 12.230 Å, 31.13 31.13 31.13°
Element x y z (fractional)
Ca1 0.000 0.000 0.000
Ga1 0.263 0.263 0.263
Ga2 0.737 0.737 0.737
Hg1 0.500 0.500 0.500
Cl1 0.032 0.709 0.398
Cl2 0.202 0.202 0.202
Cl3 0.291 0.602 0.968
Cl4 0.398 0.032 0.709
Cl5 0.602 0.968 0.291
Cl6 0.709 0.398 0.032
Cl7 0.798 0.798 0.798
Cl8 0.968 0.291 0.602

As for the space group: No. 148. The formation energy from raw total energies comes out at -15.963 eV/f.u.

# 14
The following is a PBE-GGA calculation of a relaxed CaInGa2Cl8 crystal, from the Alexandria database.

Cell: 6.685 6.685 9.520 Å, 90.00 90.00 120.00°
Element x y z (fractional)
Ca1 0.000 0.000 0.000
In1 0.000 0.000 0.500
Ga1 0.333 0.667 0.250
Ga2 0.667 0.333 0.750
Cl1 0.003 0.324 0.181
Cl2 0.321 0.997 0.181
Cl3 0.324 0.321 0.819
Cl4 0.333 0.667 0.485
Cl5 0.667 0.333 0.515
Cl6 0.676 0.679 0.181
Cl7 0.679 0.003 0.819
Cl8 0.997 0.676 0.819

As for the space group: No. 147. The formation energy from raw total energies comes out at -14.785 eV/f.u.

# 15
The following is a PBE-GGA calculation of a relaxed LiCa2GaCl6 crystal, from the Alexandria database.

Cell: 7.504 7.504 7.504 Å, 55.58 55.58 55.58°
Element x y z (fractional)
Li1 0.000 0.000 0.000
Ca1 0.314 0.314 0.314
Ca2 0.805 0.805 0.805
Ga1 0.514 0.514 0.514
Cl1 0.076 0.394 0.727
Cl2 0.178 0.941 0.600
Cl3 0.394 0.727 0.076
Cl4 0.600 0.178 0.941
Cl5 0.727 0.076 0.394
Cl6 0.941 0.600 0.178

As for the space group: No. 146. The formation energy from raw total energies comes out at -19.134 eV/f.u.

# 16
The following is a PBE-GGA calculation of a relaxed NaCaGa2Cl8 crystal, from the Alexandria database.

Cell: 6.755 6.755 9.243 Å, 90.00 90.00 120.00°
Element x y z (fractional)
Na1 0.000 0.000 0.000
Ca1 0.000 0.000 0.500
Ga1 0.333 0.667 0.758
Ga2 0.667 0.333 0.242
Cl1 0.011 0.320 0.690
Cl2 0.309 0.989 0.690
Cl3 0.320 0.309 0.310
Cl4 0.333 0.667 0.998
Cl5 0.667 0.333 0.002
Cl6 0.680 0.691 0.690
Cl7 0.691 0.011 0.310
Cl8 0.989 0.680 0.310

As for the space group: No. 147. The formation energy from raw total energies comes out at -16.243 eV/f.u.

# 17
The following is a PBE-GGA calculation of a relaxed NaCa2GaCl6 crystal, from the Alexandria database.

Cell: 7.563 7.563 7.563 Å, 56.85 56.85 56.85°
Element x y z (fractional)
Na1 0.000 0.000 0.000
Ca1 0.301 0.301 0.301
Ca2 0.798 0.798 0.798
Ga1 0.507 0.507 0.507
Cl1 0.073 0.416 0.685
Cl2 0.161 0.940 0.579
Cl3 0.416 0.685 0.073
Cl4 0.579 0.161 0.940
Cl5 0.685 0.073 0.416
Cl6 0.940 0.579 0.161

As for the space group: No. 146. The formation energy from raw total energies comes out at -19.291 eV/f.u.

# 18
The following is a PBE-GGA calculation of a relaxed CaNpGaCl6 crystal, from the Alexandria database.

Cell: 7.179 7.179 12.888 Å, 90.00 90.00 120.00°
Element x y z (fractional)
Ca1 0.333 0.667 0.250
Ca2 0.667 0.333 0.750
Np1 0.333 0.667 0.750
Np2 0.667 0.333 0.250
Ga1 0.000 0.000 0.000
Ga2 0.000 0.000 0.500
Cl1 0.002 0.359 0.634
Cl2 0.002 0.642 0.866
Cl3 0.358 0.359 0.866
Cl4 0.358 0.998 0.634
Cl5 0.359 0.002 0.134
Cl6 0.359 0.358 0.366
Cl7 0.641 0.642 0.634
Cl8 0.641 0.998 0.866
Cl9 0.642 0.002 0.366
Cl10 0.642 0.641 0.134
Cl11 0.998 0.358 0.134
Cl12 0.998 0.641 0.366

As for the space group: No. 163. The formation energy from raw total energies comes out at -15.392 eV/f.u.

# 19
The following is a PBE-GGA calculation of a relaxed Ca2GaClO8 crystal, from the Alexandria database.

Cell: 6.134 6.134 6.134 Å, 65.29 65.29 65.29°
Element x y z (fractional)
Ca1 0.202 0.202 0.202
Ca2 0.798 0.798 0.798
Ga1 0.500 0.500 0.500
Cl1 0.000 0.000 0.000
O1 0.165 0.440 0.772
O2 0.228 0.835 0.560
O3 0.366 0.366 0.366
O4 0.440 0.772 0.165
O5 0.560 0.228 0.835
O6 0.634 0.634 0.634
O7 0.772 0.165 0.440
O8 0.835 0.560 0.228

As for the space group: No. 148. The formation energy from raw total energies comes out at -6.366 eV/f.u.

# 20
The following is a PBE-GGA calculation of a relaxed CaGaClO2 crystal, from the Alexandria database.

Cell: 6.442 3.953 7.830 Å, 90.00 108.90 90.00°
Element x y z (fractional)
Ca1 0.178 0.250 0.164
Ca2 0.822 0.750 0.836
Ga1 0.085 0.250 0.651
Ga2 0.915 0.750 0.349
Cl1 0.472 0.250 0.740
Cl2 0.528 0.750 0.260
O1 0.001 0.750 0.607
O2 0.011 0.250 0.860
O3 0.989 0.750 0.140
O4 0.999 0.250 0.393

As for the space group: No. 11. The formation energy from raw total energies comes out at -10.980 eV/f.u.

| no. | energy (eV/atom) | spin magnetization (μB/cell) |
| --- | --- | --- |
| 1 | -3.1959 | 0.00 |
| 2 | -2.5891 | 0.00 |
| 3 | -3.2166 | 0.00 |
| 4 | -3.4694 | 0.00 |
| 5 | -3.3933 | 0.00 |
| 6 | -2.0585 | 1.50 |
| 7 | -3.2850 | 0.00 |
| 8 | -2.7617 | 0.00 |
| 9 | -3.3330 | 1.95 |
| 10 | -2.9115 | 2.00 |
| 11 | -3.5522 | 0.24 |
| 12 | -3.4633 | 0.00 |
| 13 | -3.2578 | 0.00 |
| 14 | -3.3626 | 1.00 |
| 15 | -3.9158 | 0.00 |
| 16 | -3.3659 | 0.87 |
| 17 | -3.8720 | 0.00 |
| 18 | -4.9379 | 8.00 |
| 19 | -4.5757 | 10.00 |
| 20 | -5.5544 | 0.00 |